# 1
A relaxed structure of Zr4CdSb. Source: Alexandria, functional PBE-GGA.

Summary:
Magnetization in Bohr magnetons per cell: 0.00
Formation energy from raw total energies in meV/atom: 167

Unit cell a=5.8333 b=5.8333 c=5.8333 alpha=60.00 beta=60.00 gamma=60.00
With the nearest neighbours (Å) after each atom.
Atoms (fractional coordinates):
Zr (0.8732, 0.3756, 0.3756)  6 Zr 2.90-2.93
Zr (0.3756, 0.3756, 0.8732)  6 Zr 2.90-2.93
Zr (0.3756, 0.3756, 0.3756)  6 Zr 2.90-2.93
Zr (0.3756, 0.8732, 0.3756)  6 Zr 2.90-2.93
Sb (0.0000, 0.0000, 0.0000)  12 Zr 3.42, 4 Cd 3.57
Cd (0.7500, 0.7500, 0.7500)  12 Zr 3.42, 4 Sb 3.57



# 2
A relaxed structure of ZrCd2Sb. Source: Alexandria, functional PBE-GGA.

Summary:
Magnetization in Bohr magnetons per cell: 0.00
Formation energy from raw total energies in meV/atom: 38

Unit cell a=8.3107 b=8.3107 c=6.5414 alpha=50.56 beta=50.56 gamma=90.00
With the nearest neighbours (Å) after each atom.
Atoms (fractional coordinates):
Sb (0.0000, 0.0000, 0.0000)  2 Zr 2.87, 4 Cd 2.97
Sb (0.7500, 0.2500, 0.5000)  2 Zr 2.87, 4 Cd 2.97
Cd (0.8750, 0.8846, 0.7500)  2 Cd 2.88, 2 Sb 2.97, 2 Zr 3.08
Cd (0.6346, 0.1250, 0.2500)  2 Cd 2.88, 2 Sb 2.97, 2 Zr 3.08
Cd (0.3750, 0.3654, 0.7500)  2 Cd 2.88, 2 Sb 2.97, 2 Zr 3.08
Cd (0.1154, 0.6250, 0.2500)  2 Cd 2.88, 2 Sb 2.97, 2 Zr 3.08
Zr (0.5000, 0.5000, 0.0000)  2 Sb 2.87, 4 Cd 3.08
Zr (0.2500, 0.7500, 0.5000)  2 Sb 2.87, 4 Cd 3.08



# 3
A relaxed structure of ZrCdSb2. Source: Alexandria, functional PBE-GGA.

Summary:
Magnetization in Bohr magnetons per cell: 0.00
Formation energy from raw total energies in meV/atom: -175

Unit cell a=4.9483 b=4.9483 c=3.8586 alpha=90.00 beta=90.00 gamma=90.00
With the nearest neighbours (Å) after each atom.
Atoms (fractional coordinates):
Sb (0.0000, 0.0000, 0.0000)  4 Zr 3.14, 4 Cd 3.14, 4 Sb 3.50
Sb (0.5000, 0.5000, 0.0000)  4 Cd 3.14, 4 Zr 3.14, 4 Sb 3.50
Zr (0.5000, 0.0000, 0.5000)  8 Sb 3.14, 4 Cd 3.50
Cd (0.0000, 0.5000, 0.5000)  8 Sb 3.14, 4 Zr 3.50



# 4
A relaxed structure of ZrCdSb2. Source: Alexandria, functional PBE-GGA.

Summary:
Magnetization in Bohr magnetons per cell: 0.00
Formation energy from raw total energies in meV/atom: -147

Unit cell a=5.9472 b=5.9472 c=5.4398 alpha=80.24 beta=80.24 gamma=30.77
With the nearest neighbours (Å) after each atom.
Atoms (fractional coordinates):
Zr (0.5151, 0.5151, 0.5469)  7 Sb 3.15-3.18, 2 Zr 3.16, 2 Cd 3.23
Sb (0.9827, 0.9827, 0.0616)  3 Cd 3.07-3.27, 4 Zr 3.15-3.18, 3 Sb 3.16-3.42
Sb (0.7719, 0.7719, 0.6873)  3 Sb 3.16-3.42, 3 Zr 3.17-3.18, 4 Cd 3.17-3.19
Cd (0.2303, 0.2303, 0.2042)  7 Sb 3.07-3.27, 2 Cd 3.16, 2 Zr 3.23



# 5
A relaxed structure of ZrCdSb2. Source: Alexandria, functional PBE-GGA.

Summary:
Magnetization in Bohr magnetons per cell: 0.00
Formation energy from raw total energies in meV/atom: -286

Unit cell a=4.3710 b=3.9689 c=5.9340 alpha=74.20 beta=90.00 gamma=90.00
With the nearest neighbours (Å) after each atom.
Atoms (fractional coordinates):
Zr (0.0000, 0.7069, 0.4541)  7 Sb 3.02-3.28, 2 Cd 3.07
Sb (0.0000, 0.0040, 0.8810)  4 Cd 2.96-2.97, 3 Zr 3.07-3.28
Sb (0.5000, 0.2614, 0.3342)  1 Cd 2.89, 4 Zr 3.02-3.05
Cd (0.5000, 0.5277, 0.8306)  5 Sb 2.89-2.97, 2 Zr 3.07



# 6
A relaxed structure of ZrCd2Sb. Source: Alexandria, functional PBE-GGA.

Summary:
Magnetization in Bohr magnetons per cell: 0.00
Formation energy from raw total energies in meV/atom: -97

Unit cell a=5.9201 b=5.9201 c=3.1791 alpha=82.83 beta=82.83 gamma=120.81
With the nearest neighbours (Å) after each atom.
Atoms (fractional coordinates):
Zr (0.0000, 0.5000, 0.5000)  2 Sb 2.92, 2 Zr 3.18, 4 Cd 3.18
Cd (0.5000, 0.5000, 0.0000)  4 Cd 2.92-3.18, 2 Sb 3.18, 2 Zr 3.18
Cd (0.0000, 0.0000, 0.0000)  4 Cd 2.92-3.18, 2 Zr 3.18, 2 Sb 3.18
Sb (0.5000, 0.0000, 0.5000)  2 Zr 2.92, 2 Sb 3.18, 4 Cd 3.18



# 7
A relaxed structure of ZrCdSb2. Source: Alexandria, functional PBE-GGA.

Summary:
Magnetization in Bohr magnetons per cell: 0.00
Formation energy from raw total energies in meV/atom: -251

Unit cell a=4.0240 b=4.0240 c=6.1878 alpha=90.00 beta=90.00 gamma=90.00
With the nearest neighbours (Å) after each atom.
Atoms (fractional coordinates):
Zr (0.0000, 0.0000, 0.4651)  6 Sb 2.94-3.25
Cd (0.5000, 0.5000, 0.7793)  5 Sb 2.87-3.01
Sb (0.0000, 0.0000, 0.9400)  2 Zr 2.94-3.25, 4 Cd 3.01
Sb (0.5000, 0.5000, 0.3156)  1 Cd 2.87, 4 Zr 2.99



# 8
A relaxed structure of ZrCd2Sb. Source: Alexandria, functional PBE-GGA.

Summary:
Magnetization in Bohr magnetons per cell: 0.00
Formation energy from raw total energies in meV/atom: -161

Unit cell a=5.7418 b=5.7418 c=5.7589 alpha=66.33 beta=66.33 gamma=32.39
With the nearest neighbours (Å) after each atom.
Atoms (fractional coordinates):
Cd (0.9910, 0.9910, 0.9178)  5 Cd 2.95-3.20, 2 Zr 3.21, 2 Sb 3.25
Cd (0.7437, 0.7437, 0.8369)  5 Cd 2.95-3.20, 1 Sb 3.14, 2 Zr 3.17
Zr (0.2522, 0.2522, 0.3549)  3 Sb 2.97-3.02, 5 Cd 3.17-3.32, 2 Zr 3.20
Sb (0.5131, 0.5131, 0.3903)  3 Zr 2.97-3.02, 3 Cd 3.14-3.25, 2 Sb 3.20